1.
{
  "formula": "SmGePIr2",
  "functional": "GGA-PBE",
  "state": "relaxed",
  "lattice_angstrom": [[4.1370, 0.0000, 0.0000], [-2.0685, 6.1459, 0.0000], [0.0000, 0.0000, 7.3434]],
  "species": ["Sm", "Sm", "Ge", "Ge", "P", "P", "Ir", "Ir", "Ir", "Ir"],
  "fractional_positions": [[0.4282, 0.8565, 0.7500], [0.5718, 0.1435, 0.2500], [0.7213, 0.4425, 0.7500], [0.2787, 0.5575, 0.2500], [0.0000, 0.0000, 0.0000], [0.0000, 0.0000, 0.5000], [0.1772, 0.3545, 0.9467], [0.8228, 0.6455, 0.0533], [0.1772, 0.3545, 0.5533], [0.8228, 0.6455, 0.4467]],
  "crystal_system": "orthorhombic",
  "spacegroup": "Cmcm",
  "total_energy_ev_per_cell": -71.7
}

=====

2.
{
  "formula": "Cr2Cd",
  "functional": "GGA-PBE",
  "state": "relaxed",
  "lattice_angstrom": [[6.1298, 0.0000, 0.0000], [0.0000, 6.1298, 0.0000], [0.0000, 0.0000, 6.1298]],
  "species": ["Cr", "Cr", "Cr", "Cr", "Cr", "Cr", "Cr", "Cr", "Cd", "Cd", "Cd", "Cd"],
  "fractional_positions": [[0.0850, 0.5850, 0.9150], [0.0850, 0.9150, 0.4150], [0.4150, 0.0850, 0.9150], [0.4150, 0.4150, 0.4150], [0.5850, 0.5850, 0.5850], [0.5850, 0.9150, 0.0850], [0.9150, 0.0850, 0.5850], [0.9150, 0.4150, 0.0850], [0.0000, 0.0000, 0.0000], [0.0000, 0.5000, 0.5000], [0.5000, 0.0000, 0.5000], [0.5000, 0.5000, 0.0000]],
  "crystal_system": "cubic",
  "spacegroup": "Pa-3",
  "total_energy_ev_per_cell": -64.2
}

=====

3.
{
  "formula": "KLi4In",
  "functional": "GGA-PBE",
  "state": "relaxed",
  "lattice_angstrom": [[1.9197, 3.3389, 4.4828], [-2.1145, 5.4708, 0.7266], [-3.5902, 1.2020, 4.5381]],
  "species": ["K", "Li", "Li", "Li", "Li", "In"],
  "fractional_positions": [[0.0000, 0.0000, 0.0000], [0.8635, 0.3788, 0.3788], [0.3788, 0.3788, 0.8635], [0.3788, 0.8635, 0.3788], [0.3788, 0.3788, 0.3788], [0.7500, 0.7500, 0.7500]],
  "crystal_system": "cubic",
  "spacegroup": "F-43m",
  "total_energy_ev_per_cell": -11.4
}

=====

4.
{
  "formula": "CoCuBr4",
  "functional": "GGA-PBE",
  "state": "relaxed",
  "lattice_angstrom": [[0.0000, 4.3717, 4.3717], [4.3717, 0.0000, 4.3717], [4.3717, 4.3717, 0.0000]],
  "species": ["Co", "Cu", "Br", "Br", "Br", "Br"],
  "fractional_positions": [[0.7500, 0.7500, 0.7500], [0.0000, 0.0000, 0.0000], [0.8741, 0.3753, 0.3753], [0.3753, 0.3753, 0.8741], [0.3753, 0.8741, 0.3753], [0.3753, 0.3753, 0.3753]],
  "crystal_system": "cubic",
  "spacegroup": "F-43m",
  "total_energy_ev_per_cell": -10.5
}

=====

5.
{
  "formula": "ZrHg2Br",
  "functional": "GGA-PBE",
  "state": "relaxed",
  "lattice_angstrom": [[-2.4903, -0.1995, -2.3966], [2.6957, -2.1577, -0.2505], [-4.5830, -6.3397, 5.2901]],
  "species": ["Br", "Hg", "Hg", "Zr"],
  "fractional_positions": [[0.5000, 0.5000, 0.7500], [0.0000, 0.0000, 0.0003], [0.0000, 0.0000, 0.4997], [0.5000, 0.5000, 0.2500]],
  "crystal_system": "orthorhombic",
  "spacegroup": "Cmmm",
  "total_energy_ev_per_cell": -11.0
}

=====

6.
{
  "formula": "LaAs4P",
  "functional": "GGA-PBE",
  "state": "relaxed",
  "lattice_angstrom": [[1.8898, -5.0525, -1.6394], [-3.1202, -3.1967, -3.4398], [1.6199, -0.8072, -5.3396]],
  "species": ["La", "As", "As", "As", "As", "P"],
  "fractional_positions": [[0.7500, 0.7500, 0.7500], [0.8903, 0.3699, 0.3699], [0.3699, 0.3699, 0.8903], [0.3699, 0.8903, 0.3699], [0.3699, 0.3699, 0.3699], [0.0000, 0.0000, 0.0000]],
  "crystal_system": "cubic",
  "spacegroup": "F-43m",
  "total_energy_ev_per_cell": -29.6
}

=====

7.
{
  "formula": "AlMoS2",
  "functional": "GGA-PBE",
  "state": "relaxed",
  "lattice_angstrom": [[5.5272, 0.0000, 0.0000], [0.0000, 5.5272, 0.0000], [2.7636, 2.7636, 5.0534]],
  "species": ["Mo", "Mo", "S", "S", "S", "S", "Al", "Al"],
  "fractional_positions": [[0.0000, 0.0000, 0.0000], [0.7500, 0.2500, 0.5000], [0.6095, 0.1250, 0.2500], [0.1405, 0.6250, 0.2500], [0.3750, 0.3905, 0.7500], [0.8750, 0.8595, 0.7500], [0.5000, 0.5000, 0.0000], [0.2500, 0.7500, 0.5000]],
  "crystal_system": "tetragonal",
  "spacegroup": "I-42d",
  "total_energy_ev_per_cell": -47.1
}

=====

8.
{
  "formula": "Tb2Sm7Tm3",
  "functional": "GGA-PBE",
  "state": "relaxed",
  "lattice_angstrom": [[-1.8741, -2.9949, 0.1749], [4.6281, -2.6924, 3.4892], [-4.3469, 3.7135, 17.0117]],
  "species": ["Tb", "Tb", "Sm", "Sm", "Sm", "Sm", "Sm", "Sm", "Sm", "Tm", "Tm", "Tm"],
  "fractional_positions": [[0.5000, 0.6118, 0.3292], [0.5000, 0.3882, 0.6708], [0.5000, 0.2385, 0.5040], [0.5000, 0.7615, 0.4960], [0.0000, 0.5584, 0.1658], [0.0000, 0.0000, 0.0000], [0.0000, 0.4416, 0.8342], [0.5000, 0.9449, 0.8290], [0.5000, 0.0551, 0.1710], [0.5000, 0.5000, 0.0000], [0.0000, 0.1127, 0.3417], [0.0000, 0.8873, 0.6583]],
  "crystal_system": "monoclinic",
  "spacegroup": "P2/m",
  "total_energy_ev_per_cell": -54.9
}

=====

9.
{
  "formula": "ZrRhI3",
  "functional": "GGA-PBE",
  "state": "relaxed",
  "lattice_angstrom": [[-4.4934, 3.0882, 1.6424], [-2.3824, -4.6599, 2.2440], [2.5610, 1.0836, 4.9692]],
  "species": ["I", "I", "I", "Rh", "Zr"],
  "fractional_positions": [[0.0000, 0.5000, 0.0000], [0.0000, 0.0000, 0.5000], [0.5000, 0.0000, 0.0000], [0.5000, 0.5000, 0.5000], [0.0000, 0.0000, 0.0000]],
  "crystal_system": "cubic",
  "spacegroup": "Pm-3m",
  "total_energy_ev_per_cell": -18.1
}

=====

10.
{
  "formula": "NaUPd2",
  "functional": "GGA-PBE",
  "state": "relaxed",
  "lattice_angstrom": [[3.0265, 0.0000, 0.0000], [1.5133, 2.6210, 0.0000], [1.5133, 0.8737, 9.6821]],
  "species": ["Na", "U", "Pd", "Pd"],
  "fractional_positions": [[0.5000, 0.5000, 0.5000], [0.0000, 0.0000, 0.0000], [0.7491, 0.7491, 0.7526], [0.2509, 0.2509, 0.2474]],
  "crystal_system": "trigonal",
  "spacegroup": "R-3m",
  "total_energy_ev_per_cell": -23.3
}

=====

11.
{
  "formula": "HgAs2Pb2",
  "functional": "GGA-PBE",
  "state": "relaxed",
  "lattice_angstrom": [[-6.3236, -5.8039, -2.1412], [0.6506, -3.6689, 8.0233], [-2.5832, 2.3421, 1.2805]],
  "species": ["Pb", "Pb", "Pb", "Pb", "As", "As", "As", "As", "Hg", "Hg"],
  "fractional_positions": [[0.3334, 0.8334, 0.0000], [0.8334, 0.6666, 0.0000], [0.6666, 0.1666, 0.0000], [0.1666, 0.3334, 0.0000], [0.1022, 0.6022, 0.5000], [0.6022, 0.8978, 0.5000], [0.8978, 0.3978, 0.5000], [0.3978, 0.1022, 0.5000], [0.0000, 0.0000, 0.0000], [0.5000, 0.5000, 0.0000]],
  "crystal_system": "tetragonal",
  "spacegroup": "P4/mbm",
  "total_energy_ev_per_cell": -32.9
}

=====

12.
{
  "formula": "AcTeP4",
  "functional": "GGA-PBE",
  "state": "relaxed",
  "lattice_angstrom": [[-3.7306, -1.6724, 4.0824], [1.9476, -1.7650, 5.1451], [-0.8227, 3.2839, 4.6818]],
  "species": ["P", "P", "P", "P", "Ac", "Te"],
  "fractional_positions": [[0.6507, 0.6507, 0.0480], [0.6507, 0.0480, 0.6507], [0.6507, 0.6507, 0.6507], [0.0480, 0.6507, 0.6507], [0.2500, 0.2500, 0.2500], [0.0000, 0.0000, 0.0000]],
  "crystal_system": "cubic",
  "spacegroup": "F-43m",
  "total_energy_ev_per_cell": -30.5
}